DFT (PBE) results for a geometry-optimized LaHfIn3 structure.

```
5
Lattice="5.7620 0.0000 0.0000 0.0000 5.7620 0.0000 0.0000 0.0000 5.7620" Properties=species:S:1:pos:R:3 pbc="T T T"
La 0.0000 0.0000 0.0000
Hf 2.8810 2.8810 2.8810
In 0.0000 0.0000 2.8810
In 0.0000 2.8810 0.0000
In 2.8810 0.0000 0.0000
```

The calculation puts the total magnetization at 0.0 μB/f.u. The calculation puts the density of states at the Fermi level at 8.75 states/eV/cell. The energy above the most stable polymorph in this dataset comes out at 1.171 eV per atom. The calculation puts the calculated volume at 191.31 Å³ per cell. As for the uncorrected energy: -3.3182 eV/atom. Its space group is Pm-3m.